# PmSmSc2Tl4

Crystalline PmSmSc2Tl4 at its relaxed geometry (PBE, the Alexandria database).

Lattice parameters (Å, degrees): 5.296 5.296 9.188 73.25 73.25 60.00
Sites, in units of the cell vectors:
1 Tl 0.625 0.625 0.124
2 Tl 0.875 0.875 0.374
3 Tl 0.125 0.125 0.626
4 Tl 0.375 0.375 0.876
5 Pm 0.500 0.500 0.500
6 Sc 0.250 0.250 0.250
7 Sc 0.750 0.750 0.750
8 Sm 0.000 0.000 0.000

Properties
Theoretical density (kg/m3): 9488
Total moment (Bohr magnetons per cell): 0.0
DFT formation energy (eV/atom): -0.307